1.
# PBE-GGA SrMgAg2Sn, relaxed
# ΔH_f (0 K): -0.31 eV/atom
# volume: 25.3 Å³ per atom
data_SrMgAg2Sn
_chemical_formula_sum 'Sr1 Mg1 Ag2 Sn1'
_cell_length_a 4.774
_cell_length_b 3.995
_cell_length_c 7.318
_cell_angle_alpha 105.84
_cell_angle_beta 109.04
_cell_angle_gamma 90.00
_space_group_name_H-M_alt 'P 1'
_space_group_IT_number 1
_space_group_name_Hall 'P 1'
loop_
_atom_site_label
_atom_site_fract_x
_atom_site_fract_y
_atom_site_fract_z
Sr1 0.453 0.453 0.905
Ag1 0.049 0.049 0.099
Ag2 0.676 0.176 0.352
Mg1 0.200 0.700 0.399
Sn1 0.834 0.834 0.668

2.
# PBE-GGA Sr2Mg3AgSn4, relaxed
# ΔH_f (0 K): -0.39 eV/atom
# volume: 27.7 Å³ per atom
data_Sr2Mg3AgSn4
_chemical_formula_sum 'Sr2 Mg3 Ag1 Sn4'
_cell_length_a 4.715
_cell_length_b 4.715
_cell_length_c 12.474
_cell_angle_alpha 90.00
_cell_angle_beta 90.00
_cell_angle_gamma 90.00
_space_group_name_H-M_alt 'P 1'
_space_group_IT_number 1
_space_group_name_Hall 'P 1'
loop_
_atom_site_label
_atom_site_fract_x
_atom_site_fract_y
_atom_site_fract_z
Mg1 0.000 0.500 0.142
Mg2 0.500 0.000 0.858
Mg3 0.000 0.000 0.500
Sr1 0.000 0.500 0.736
Sr2 0.500 0.000 0.264
Ag1 0.500 0.500 0.500
Sn1 0.000 0.500 0.364
Sn2 0.000 0.000 0.000
Sn3 0.500 0.000 0.636
Sn4 0.500 0.500 0.000